1.
## KBaTa2 (PBE)

Data for an optimized crystal structure of KBaTa2.

Cell lengths 7.620, 7.620, 7.620 Å; angles 90.00, 90.00, 90.00 degrees
Element x y z (fractional)
K 0.000 0.000 0.000
K 0.000 0.500 0.500
K 0.500 0.000 0.500
K 0.500 0.500 0.000
Ba 0.000 0.000 0.500
Ba 0.000 0.500 0.000
Ba 0.500 0.000 0.000
Ba 0.500 0.500 0.500
Ta 0.250 0.250 0.250
Ta 0.250 0.250 0.750
Ta 0.250 0.750 0.250
Ta 0.250 0.750 0.750
Ta 0.750 0.250 0.250
Ta 0.750 0.250 0.750
Ta 0.750 0.750 0.250
Ta 0.750 0.750 0.750

Results
**Excess energy over the best structure of this formula in the dataset**: 1476 meV per atom
**Energy of formation from the pure elements**: 2.200 eV per atom
**Total magnetic moment**: 0.000 μB per cell
**Total DFT energy (no corrections)**: -4.481 eV/atom

2.
## LiMnW3 (PBE)

Data for an optimized crystal structure of LiMnW3.

Cell lengths 4.171, 4.171, 4.171 Å; angles 90.00, 90.00, 90.00 degrees
Element x y z (fractional)
Li 0.000 0.000 0.000
Mn 0.500 0.500 0.500
W 0.000 0.000 0.500
W 0.000 0.500 0.000
W 0.500 0.000 0.000

Results
**Excess energy over the best structure of this formula in the dataset**: 218 meV per atom
**Energy of formation from the pure elements**: 1.630 eV per atom
**Total magnetic moment**: 0.000 μB per cell
**Total DFT energy (no corrections)**: -8.359 eV/atom

3.
## CaTcClO4 (PBE)

Data for an optimized crystal structure of CaTcClO4.

Cell lengths 6.451, 6.451, 9.044 Å; angles 111.39, 111.39, 71.05 degrees
Element x y z (fractional)
Ca 0.189 0.189 0.188
Ca 0.811 0.811 0.812
Tc 0.384 0.384 0.700
Tc 0.616 0.616 0.300
Cl 0.083 0.083 0.859
Cl 0.917 0.917 0.141
O 0.147 0.524 0.774
O 0.297 0.297 0.485
O 0.433 0.433 0.233
O 0.476 0.853 0.226
O 0.524 0.147 0.774
O 0.567 0.567 0.767
O 0.703 0.703 0.515
O 0.853 0.476 0.226

Results
**Energy relative to the elements, uncorrected**: -13.40 eV per formula unit
**Total magnetic moment**: 0.128 μB per cell
**Total DFT energy (no corrections)**: -6.778 eV/atom

4.
## Er2TmC (PBE)

Data for an optimized crystal structure of Er2TmC.

Cell lengths 3.502, 3.502, 28.382 Å; angles 90.00, 90.00, 120.00 degrees
Element x y z (fractional)
Er 0.000 0.000 0.120
Er 0.000 0.000 0.880
Er 0.333 0.667 0.547
Er 0.333 0.667 0.787
Er 0.667 0.333 0.213
Er 0.667 0.333 0.453
Tm 0.000 0.000 0.000
Tm 0.333 0.667 0.667
Tm 0.667 0.333 0.333
C 0.000 0.000 0.500
C 0.333 0.667 0.167
C 0.667 0.333 0.833

Results
**Energy of formation from the pure elements**: -0.089 eV per atom
**Total magnetic moment**: 1.988 μB per cell
**Total DFT energy (no corrections)**: -5.794 eV/atom

5.
## La3ZrOs (PBE)

Data for an optimized crystal structure of La3ZrOs.

Cell lengths 5.565, 5.565, 5.565 Å; angles 90.00, 90.00, 90.00 degrees
Element x y z (fractional)
La 0.000 0.000 0.500
La 0.000 0.500 0.000
La 0.500 0.000 0.000
Zr 0.500 0.500 0.500
Os 0.000 0.000 0.000

Results
**Excess energy over the best structure of this formula in the dataset**: 0 meV per atom
**Energy of formation from the pure elements**: 0.337 eV per atom
**Total magnetic moment**: 0.000 μB per cell
**Total DFT energy (no corrections)**: -6.575 eV/atom

6.
## LaCePr2 (PBE)

Data for an optimized crystal structure of LaCePr2.

Cell lengths 3.649, 3.649, 35.958 Å; angles 90.00, 90.00, 120.00 degrees
Element x y z (fractional)
La 0.000 0.000 0.000
La 0.333 0.667 0.667
La 0.667 0.333 0.333
Ce 0.000 0.000 0.167
Ce 0.333 0.667 0.834
Ce 0.667 0.333 0.500
Pr 0.000 0.000 0.580
Pr 0.000 0.000 0.754
Pr 0.333 0.667 0.246
Pr 0.333 0.667 0.421
Pr 0.667 0.333 0.087
Pr 0.667 0.333 0.913

Results
**Excess energy over the best structure of this formula in the dataset**: 6 meV per atom
**Energy of formation from the pure elements**: 0.068 eV per atom
**Total magnetic moment**: 1.511 μB per cell
**Total DFT energy (no corrections)**: -5.037 eV/atom

7.
## Te2IrI (PBE)

Data for an optimized crystal structure of Te2IrI.

Cell lengths 7.910, 7.910, 18.938 Å; angles 95.60, 95.60, 91.27 degrees
Element x y z (fractional)
Te 0.045 0.955 0.750
Te 0.054 0.376 0.760
Te 0.151 0.311 0.117
Te 0.228 0.639 0.601
Te 0.311 0.151 0.617
Te 0.361 0.772 0.899
Te 0.376 0.054 0.260
Te 0.393 0.607 0.250
Te 0.607 0.393 0.750
Te 0.624 0.946 0.740
Te 0.639 0.228 0.101
Te 0.689 0.849 0.383
Te 0.772 0.361 0.399
Te 0.849 0.689 0.883
Te 0.946 0.624 0.240
Te 0.955 0.045 0.250
Ir 0.107 0.686 0.809
Ir 0.310 0.440 0.695
Ir 0.314 0.893 0.691
Ir 0.440 0.310 0.195
Ir 0.560 0.690 0.805
Ir 0.686 0.107 0.309
Ir 0.690 0.560 0.305
Ir 0.893 0.314 0.191
I 0.151 0.331 0.443
I 0.166 0.655 0.073
I 0.331 0.151 0.943
I 0.345 0.834 0.427
I 0.655 0.166 0.573
I 0.669 0.849 0.057
I 0.834 0.345 0.927
I 0.849 0.669 0.557

Results
**Excess energy over the best structure of this formula in the dataset**: 234 meV per atom
**Energy relative to the elements, uncorrected**: 0.21 eV per formula unit
**Total magnetic moment**: 0.000 μB per cell
**Total DFT energy (no corrections)**: -4.121 eV/atom

8.
## PrC (PBE)

Data for an optimized crystal structure of PrC.

Cell lengths 7.815, 3.737, 6.510 Å; angles 90.00, 92.79, 90.00 degrees
Element x y z (fractional)
Pr 0.137 0.000 0.279
Pr 0.363 0.500 0.721
Pr 0.637 0.500 0.279
Pr 0.863 0.000 0.721
C 0.078 0.500 0.549
C 0.422 0.000 0.451
C 0.578 0.000 0.549
C 0.922 0.500 0.451

Results
**Excess energy over the best structure of this formula in the dataset**: 0 meV per atom
**Energy of formation from the pure elements**: -0.124 eV per atom
**Total magnetic moment**: 0.000 μB per cell
**Total DFT energy (no corrections)**: -7.126 eV/atom

9.
## Y3Ir (PBE)

Data for an optimized crystal structure of Y3Ir.

Cell lengths 11.615, 11.615, 6.311 Å; angles 90.00, 90.00, 90.00 degrees
Element x y z (fractional)
Y 0.034 0.907 0.201
Y 0.093 0.534 0.701
Y 0.115 0.834 0.692
Y 0.117 0.307 0.026
Y 0.166 0.615 0.192
Y 0.193 0.117 0.474
Y 0.307 0.383 0.474
Y 0.334 0.885 0.192
Y 0.383 0.193 0.026
Y 0.385 0.666 0.692
Y 0.407 0.966 0.701
Y 0.466 0.593 0.201
Y 0.534 0.407 0.799
Y 0.593 0.034 0.299
Y 0.615 0.334 0.308
Y 0.617 0.807 0.974
Y 0.666 0.115 0.808
Y 0.693 0.617 0.526
Y 0.807 0.883 0.526
Y 0.834 0.385 0.808
Y 0.883 0.693 0.974
Y 0.885 0.166 0.308
Y 0.907 0.466 0.299
Y 0.966 0.093 0.799
Ir 0.054 0.315 0.513
Ir 0.185 0.054 0.987
Ir 0.315 0.446 0.987
Ir 0.446 0.185 0.513
Ir 0.554 0.815 0.487
Ir 0.685 0.554 0.013
Ir 0.815 0.946 0.013
Ir 0.946 0.685 0.487

Results
**Energy of formation from the pure elements**: -0.500 eV per atom
**Total magnetic moment**: 0.000 μB per cell
**Total DFT energy (no corrections)**: -7.563 eV/atom

10.
## SrIr3Os (PBE)

Data for an optimized crystal structure of SrIr3Os.

Cell lengths 4.763, 4.763, 4.763 Å; angles 90.00, 90.00, 90.00 degrees
Element x y z (fractional)
Sr 0.000 0.000 0.000
Ir 0.000 0.000 0.500
Ir 0.000 0.500 0.000
Ir 0.500 0.000 0.000
Os 0.500 0.500 0.500

Results
**Excess energy over the best structure of this formula in the dataset**: 2599 meV per atom
**Energy of formation from the pure elements**: 3.465 eV per atom
**Total magnetic moment**: 0.000 μB per cell
**Total DFT energy (no corrections)**: -4.434 eV/atom

11.
## Pm2YMnN4 (PBE)

Data for an optimized crystal structure of Pm2YMnN4.

Cell lengths 6.097, 6.097, 11.902 Å; angles 90.00, 90.00, 147.44 degrees
Element x y z (fractional)
Pm 0.133 0.867 0.543
Pm 0.133 0.867 0.957
Pm 0.867 0.133 0.043
Pm 0.867 0.133 0.457
Y 0.376 0.624 0.750
Y 0.624 0.376 0.250
Mn 0.344 0.656 0.250
Mn 0.656 0.344 0.750
N 0.085 0.915 0.750
N 0.229 0.771 0.139
N 0.229 0.771 0.361
N 0.500 0.500 0.000
N 0.500 0.500 0.500
N 0.771 0.229 0.639
N 0.771 0.229 0.861
N 0.915 0.085 0.250

Results
**Energy relative to the elements, uncorrected**: -7.96 eV per formula unit
**Total magnetic moment**: 0.001 μB per cell
**Total DFT energy (no corrections)**: -8.300 eV/atom

12.
## Y2Be (PBE)

Data for an optimized crystal structure of Y2Be.

Cell lengths 5.115, 5.115, 3.054 Å; angles 90.00, 90.00, 120.00 degrees
Element x y z (fractional)
Y 0.333 0.667 0.000
Y 0.667 0.333 0.000
Be 0.000 0.000 0.500

Results
**Excess energy over the best structure of this formula in the dataset**: 526 meV per atom
**Energy of formation from the pure elements**: 0.583 eV per atom
**Total magnetic moment**: 0.000 μB per cell
**Total DFT energy (no corrections)**: -4.968 eV/atom

13.
## MgCrTcMo (PBE)

Data for an optimized crystal structure of MgCrTcMo.

Cell lengths 6.246, 6.246, 6.246 Å; angles 90.00, 90.00, 90.00 degrees
Element x y z (fractional)
Mg 0.000 0.000 0.000
Mg 0.000 0.500 0.500
Mg 0.500 0.000 0.500
Mg 0.500 0.500 0.000
Cr 0.250 0.250 0.750
Cr 0.250 0.750 0.250
Cr 0.750 0.250 0.250
Cr 0.750 0.750 0.750
Tc 0.250 0.250 0.250
Tc 0.250 0.750 0.750
Tc 0.750 0.250 0.750
Tc 0.750 0.750 0.250
Mo 0.000 0.000 0.500
Mo 0.000 0.500 0.000
Mo 0.500 0.000 0.000
Mo 0.500 0.500 0.500

Results
**Energy of formation from the pure elements**: 0.202 eV per atom
**Total magnetic moment**: 11.494 μB per cell
**Total DFT energy (no corrections)**: -7.902 eV/atom

14.
## TiInTe2 (PBE)

Data for an optimized crystal structure of TiInTe2.

Cell lengths 3.839, 3.839, 8.620 Å; angles 90.00, 90.00, 120.00 degrees
Element x y z (fractional)
Ti 0.000 0.000 0.000
In 0.667 0.333 0.500
Te 0.333 0.667 0.202
Te 0.333 0.667 0.798

Results
**Energy relative to the elements, uncorrected**: -1.85 eV per formula unit
**Total magnetic moment**: 0.838 μB per cell
**Total DFT energy (no corrections)**: -4.692 eV/atom

15.
## Ti2NiMoH (PBE)

Data for an optimized crystal structure of Ti2NiMoH.

Cell lengths 4.300, 4.300, 3.288 Å; angles 90.00, 90.00, 90.00 degrees
Element x y z (fractional)
Ti 0.000 0.500 0.000
Ti 0.500 0.000 0.000
Ni 0.000 0.000 0.500
Mo 0.500 0.500 0.500
H 0.000 0.000 0.000

Results
**Excess energy over the best structure of this formula in the dataset**: 0 meV per atom
**Total magnetic moment**: 0.000 μB per cell
**Total DFT energy (no corrections)**: -7.443 eV/atom

16.
## Mg2FeAs (PBE)

Data for an optimized crystal structure of Mg2FeAs.

Cell lengths 3.034, 3.772, 5.898 Å; angles 90.00, 90.24, 90.00 degrees
Element x y z (fractional)
Mg 0.002 0.000 0.238
Mg 0.998 0.000 0.762
Fe 0.500 0.500 0.000
As 0.500 0.500 0.500

Results
**Energy of formation from the pure elements**: 0.036 eV per atom
**Total magnetic moment**: 2.235 μB per cell
**Total DFT energy (no corrections)**: -4.039 eV/atom

17.
## PuHfSe4 (PBE)

Data for an optimized crystal structure of PuHfSe4.

Cell lengths 8.819, 8.819, 8.696 Å; angles 106.04, 106.04, 36.14 degrees
Element x y z (fractional)
Pu 0.213 0.213 0.304
Pu 0.787 0.787 0.696
Hf 0.104 0.104 0.676
Hf 0.896 0.896 0.324
Se 0.054 0.054 0.348
Se 0.148 0.148 0.983
Se 0.265 0.265 0.656
Se 0.383 0.383 0.319
Se 0.617 0.617 0.681
Se 0.735 0.735 0.344
Se 0.852 0.852 0.017
Se 0.946 0.946 0.652

Results
**Energy relative to the elements, uncorrected**: -6.65 eV per formula unit
**Total magnetic moment**: 7.980 μB per cell
**Total DFT energy (no corrections)**: -7.479 eV/atom

18.
## HoTmBeIn (PBE)

Data for an optimized crystal structure of HoTmBeIn.

Cell lengths 7.163, 7.163, 7.163 Å; angles 90.00, 90.00, 90.00 degrees
Element x y z (fractional)
Ho 0.000 0.000 0.000
Ho 0.000 0.500 0.500
Ho 0.500 0.000 0.500
Ho 0.500 0.500 0.000
Tm 0.000 0.000 0.500
Tm 0.000 0.500 0.000
Tm 0.500 0.000 0.000
Tm 0.500 0.500 0.500
Be 0.250 0.250 0.250
Be 0.250 0.750 0.750
Be 0.750 0.250 0.750
Be 0.750 0.750 0.250
In 0.250 0.250 0.750
In 0.250 0.750 0.250
In 0.750 0.250 0.250
In 0.750 0.750 0.750

Results
**Energy of formation from the pure elements**: -0.117 eV per atom
**Total magnetic moment**: 0.000 μB per cell
**Total DFT energy (no corrections)**: -3.995 eV/atom

19.
## KSr2Tb (PBE)

Data for an optimized crystal structure of KSr2Tb.

Cell lengths 3.904, 3.904, 44.358 Å; angles 90.00, 90.00, 120.00 degrees
Element x y z (fractional)
K 0.000 0.000 0.000
K 0.333 0.667 0.667
K 0.667 0.333 0.333
Sr 0.000 0.000 0.420
Sr 0.000 0.000 0.580
Sr 0.333 0.667 0.086
Sr 0.333 0.667 0.247
Sr 0.667 0.333 0.753
Sr 0.667 0.333 0.914
Tb 0.000 0.000 0.500
Tb 0.333 0.667 0.167
Tb 0.667 0.333 0.833

Results
**Energy of formation from the pure elements**: 0.382 eV per atom
**Total magnetic moment**: 2.222 μB per cell
**Total DFT energy (no corrections)**: -1.891 eV/atom

20.
## MnAgPdPb (PBE)

Data for an optimized crystal structure of MnAgPdPb.

Cell lengths 6.695, 6.695, 6.695 Å; angles 90.00, 90.00, 90.00 degrees
Element x y z (fractional)
Mn 0.000 0.000 0.000
Mn 0.000 0.500 0.500
Mn 0.500 0.000 0.500
Mn 0.500 0.500 0.000
Ag 0.250 0.250 0.750
Ag 0.250 0.750 0.250
Ag 0.750 0.250 0.250
Ag 0.750 0.750 0.750
Pd 0.250 0.250 0.250
Pd 0.250 0.750 0.750
Pd 0.750 0.250 0.750
Pd 0.750 0.750 0.250
Pb 0.000 0.000 0.500
Pb 0.000 0.500 0.000
Pb 0.500 0.000 0.000
Pb 0.500 0.500 0.500

Results
**Energy of formation from the pure elements**: 0.069 eV per atom
**Total magnetic moment**: 17.672 μB per cell
**Total DFT energy (no corrections)**: -5.162 eV/atom